# 1
DyScGa2 after structural relaxation, computed with PBE-GGA.

a b c (Å): 3.9695 5.6986 5.6986
angles (deg): 43.23 90.00 90.00
Atoms (fractional coordinates):
Ga  0.0000  0.9191  0.9191
Ga  0.5000  0.0764  0.0764
Dy  0.0000  0.6411  0.6411
Sc  0.5000  0.3635  0.3635

Computed properties:
As for the total energy: -4.85 eV/atom.

---

# 2
Tb3Al3GePd2 after structural relaxation, computed with PBE-GGA.

a b c (Å): 7.6040 7.6040 3.9465
angles (deg): 90.00 90.00 120.00
Atoms (fractional coordinates):
Pd  0.3333  0.6667  0.5000
Al  0.5940  0.5940  0.0000
Ge  0.0000  0.0000  0.0000
Tb  0.0000  0.7232  0.5000
Tb  0.2768  0.2768  0.5000
Tb  0.7232  0.0000  0.5000
Pd  0.6667  0.3333  0.5000
Al  0.4060  0.0000  0.0000
Al  0.0000  0.4060  0.0000

Computed properties:
As for the total energy: -4.85 eV/atom.

---

# 3
GdEr3Mg2 after structural relaxation, computed with PBE-GGA.

a b c (Å): 5.4370 8.7606 8.7606
angles (deg): 24.01 90.00 90.00
Atoms (fractional coordinates):
Er  0.5000  0.9063  0.9063
Er  0.5000  0.2263  0.2263
Mg  0.5000  0.5653  0.5653
Er  0.0000  0.0935  0.0935
Gd  0.0000  0.7735  0.7735
Mg  0.0000  0.4352  0.4352

Computed properties:
As for the total energy: -3.63 eV/atom.

---

# 4
TbSe2O8 after structural relaxation, computed with PBE-GGA.

a b c (Å): 6.4811 6.4811 6.4811
angles (deg): 120.00 120.00 90.00
Site moments in Bohr magnetons follow the coordinates.
Atoms (fractional coordinates):
O  0.6462  0.9383  0.2923  0.11
O  0.6460  0.3539  0.7077  0.10
O  0.3540  0.0617  0.7079  0.11
Se  0.7500  0.2500  0.5000  -0.02
O  0.6461  0.3540  0.2923  0.12
O  0.9383  0.6460  0.2921  0.11
Se  0.2500  0.7500  0.5000  -0.02
Tb  0.5000  0.5000  0.0000  -0.02
O  0.3539  0.6462  0.7079  0.12
O  0.3538  0.6461  0.2921  0.10
O  0.0617  0.3538  0.7077  0.11

Computed properties:
As for the total energy: -5.81 eV/atom.

---

# 5
LiNb3Co4Bi4 after structural relaxation, computed with PBE-GGA.

a b c (Å): 6.0768 6.0768 7.4153
angles (deg): 114.19 114.19 90.00
Atoms (fractional coordinates):
Bi  0.0000  0.5000  0.0000
Li  0.5000  0.5000  0.0000
Co  0.3632  0.8992  0.2624
Bi  0.7346  0.7346  0.4693
Co  0.6368  0.6368  0.7376
Nb  0.2500  0.7500  0.5000
Bi  0.2654  0.2654  0.5307
Co  0.8992  0.3632  0.2624
Co  0.1008  0.1008  0.7376
Bi  0.5000  0.0000  0.0000
Nb  0.7500  0.2500  0.5000
Nb  0.0000  0.0000  0.0000

Computed properties:
As for the total energy: -6.50 eV/atom.

---

# 6
BaTbAsO after structural relaxation, computed with PBE-GGA.

a b c (Å): 4.1094 6.8843 7.7135
angles (deg): 90.00 90.00 90.00
Atoms (fractional coordinates):
O  0.5000  0.7634  0.8925
Ba  0.5000  0.5655  0.5987
Tb  0.0000  0.8758  0.9539
Ba  0.5000  0.4345  0.0987
Tb  0.0000  0.1242  0.4539
As  0.0000  0.2502  0.8089
O  0.5000  0.2366  0.3925
As  0.0000  0.7498  0.3089

Computed properties:
As for the total energy: -5.91 eV/atom.

---

# 7
Tb2Y2C3 after structural relaxation, computed with PBE-GGA.

a b c (Å): 6.7370 6.7370 6.1221
angles (deg): 113.28 113.28 31.75
Atoms (fractional coordinates):
Tb  0.8681  0.8681  0.0510
C  0.7233  0.7233  0.2115
Y  0.6359  0.6359  0.4970
Y  0.3641  0.3641  0.5030
C  0.2767  0.2767  0.7885
C  0.0000  0.0000  0.5000
Tb  0.1319  0.1319  0.9490

Computed properties:
As for the total energy: -7.32 eV/atom.

---

# 8
HoBeAl after structural relaxation, computed with PBE-GGA.

a b c (Å): 4.3470 4.3470 4.3470
angles (deg): 60.00 60.00 60.00
Atoms (fractional coordinates):
Al  0.2500  0.2500  0.2500
Ho  0.7500  0.7500  0.7500
Be  0.0000  0.0000  0.0000

Computed properties:
As for the total energy: -4.20 eV/atom.

---

Please write out number 7 again, unchanged.
Tb2Y2C3 after structural relaxation, computed with PBE-GGA.

a b c (Å): 6.7370 6.7370 6.1221
angles (deg): 113.28 113.28 31.75
Atoms (fractional coordinates):
Tb  0.8681  0.8681  0.0510
C  0.7233  0.7233  0.2115
Y  0.6359  0.6359  0.4970
Y  0.3641  0.3641  0.5030
C  0.2767  0.2767  0.7885
C  0.0000  0.0000  0.5000
Tb  0.1319  0.1319  0.9490

Computed properties:
As for the total energy: -7.32 eV/atom.

---

Q: total energy of number 5 (LiNb3Co4Bi4)?
A: -6.50 eV/atom

---

Q: Which value of total energy does entry 1 give?
A: -4.85 eV/atom